The following is a PBE calculation of a relaxed structure of Ni2ICl3, from Alexandria.

Summary:
The raw total energy is -42.63 eV/cell. The calculated volume is 25.05 A^3/atom. The formation energy without anion corrections comes out at -0.44 eV per atom.

Unit cell a=6.719 b=7.187 c=7.187 alpha=120.00 beta=90.00 gamma=90.00
Each line ends with the local moment (μB).
Fractional positions:
Cl  0.816  0.663  0.831  0.21
Cl  0.816  0.169  0.831  0.21
Cl  0.816  0.169  0.337  0.21
Cl  0.184  0.831  0.663  0.21
Cl  0.184  0.831  0.169  0.21
Cl  0.184  0.337  0.169  0.21
Ni  0.000  0.000  0.500  1.38
Ni  0.000  0.500  0.500  1.38
Ni  0.000  0.500  0.000  1.38
Ni  0.000  0.000  0.000  1.43
I  0.259  0.333  0.667  0.28
I  0.741  0.667  0.333  0.28